Record 1
## TiOs2I2 (PBE)

Data for TiOs2I2 after structural relaxation.

abc: 7.6877 7.6877 3.2497
angles: 90.00 90.00 90.00
Sites, in units of the cell vectors:
Os  0.1416  0.6416  0.5000
Os  0.6416  0.8584  0.5000
Os  0.8584  0.3584  0.5000
Os  0.3584  0.1416  0.5000
Ti  0.0000  0.0000  0.0000
Ti  0.5000  0.5000  0.0000
I  0.8344  0.6656  0.0000
I  0.6656  0.1656  0.0000
I  0.3344  0.8344  0.0000
I  0.1656  0.3344  0.0000

* DFT total energy: -5.334 eV per atom
* density of states at the Fermi level: 11.7 states/eV per cell
* formation energy without anion corrections: 1357 meV/atom
* total magnetization: 0.00 μB/f.u.

***

Record 2
## TiOsI (PBE)

Data for TiOsI after structural relaxation.

abc: 4.0329 3.7281 20.7802
angles: 90.00 90.00 90.00
Sites, in units of the cell vectors:
Ti  0.5000  0.0000  0.0828
Ti  0.5000  0.5000  0.5828
Ti  0.0000  0.5000  0.2414
Ti  0.0000  0.0000  0.7414
I  0.0000  0.5000  0.0070
I  0.0000  0.0000  0.5070
I  0.5000  0.5000  0.3376
I  0.5000  0.0000  0.8376
Os  0.0000  0.5000  0.6611
Os  0.0000  0.0000  0.1611
Os  0.5000  0.0000  0.6647
Os  0.5000  0.5000  0.1647

* DFT total energy: -7.045 eV per atom
* density of states at the Fermi level: 7.0 states/eV per cell
* formation energy without anion corrections: -153 meV/atom
* total magnetization: 0.00 μB/f.u.

***

Record 3
## TiOsI2 (PBE)

Data for TiOsI2 after structural relaxation.

abc: 6.1326 6.1326 7.3796
angles: 65.45 65.45 90.00
Sites, in units of the cell vectors:
I  0.3750  0.3593  0.7500
I  0.1093  0.6250  0.2500
I  0.8750  0.8907  0.7500
I  0.6407  0.1250  0.2500
Os  0.7500  0.2500  0.5000
Os  0.0000  0.0000  0.0000
Ti  0.2500  0.7500  0.5000
Ti  0.5000  0.5000  0.0000

* DFT total energy: -4.553 eV per atom
* density of states at the Fermi level: 12.8 states/eV per cell
* formation energy without anion corrections: 1003 meV/atom
* total magnetization: 0.03 μB/f.u.

***

Record 4
## TiOsI (PBE)

Data for TiOsI after structural relaxation.

abc: 3.3971 4.8918 9.8208
angles: 89.36 89.25 69.66
Sites, in units of the cell vectors:
I  0.6245  0.2306  0.8166
I  0.3755  0.7694  0.1834
Ti  0.9175  0.6563  0.6482
Ti  0.0825  0.3437  0.3518
Os  0.3610  0.7824  0.4753
Os  0.6390  0.2176  0.5247

* DFT total energy: -7.010 eV per atom
* density of states at the Fermi level: 4.4 states/eV per cell
* formation energy without anion corrections: -119 meV/atom
* total magnetization: 0.00 μB/f.u.

***

Record 5
## TiOsI (PBE)

Data for TiOsI after structural relaxation.

abc: 3.3343 4.9114 9.8589
angles: 82.62 89.65 70.12
Sites, in units of the cell vectors:
Os  0.9476  0.2243  0.3016
Os  0.6755  0.7692  0.3603
I  0.1404  0.8276  0.6441
I  0.9311  0.2709  0.0130
Ti  0.2160  0.6948  0.1862
Ti  0.4142  0.2844  0.4839

* DFT total energy: -6.985 eV per atom
* density of states at the Fermi level: 1.6 states/eV per cell
* formation energy without anion corrections: -94 meV/atom
* total magnetization: 0.00 μB/f.u.

***

Record 6
## TiOsI2 (PBE)

Data for TiOsI2 after structural relaxation.

abc: 4.8172 4.8172 4.8172
angles: 60.00 60.00 60.00
Sites, in units of the cell vectors:
Ti  0.0000  0.0000  0.0000
Os  0.5000  0.5000  0.5000
I  0.2500  0.2500  0.2500
I  0.7500  0.7500  0.7500

* DFT total energy: -4.628 eV per atom
* density of states at the Fermi level: 3.4 states/eV per cell
* formation energy without anion corrections: 928 meV/atom
* total magnetization: 0.00 μB/f.u.

***

Record 7
## Ti2OsI (PBE)

Data for Ti2OsI after structural relaxation.

abc: 4.6316 4.6316 4.6316
angles: 60.00 60.00 60.00
Sites, in units of the cell vectors:
Ti  0.7500  0.7500  0.7500
Ti  0.2500  0.2500  0.2500
I  0.0000  0.0000  0.0000
Os  0.5000  0.5000  0.5000

* DFT total energy: -6.736 eV per atom
* density of states at the Fermi level: 6.7 states/eV per cell
* formation energy without anion corrections: 406 meV/atom
* total magnetization: 0.00 μB/f.u.

***

Record 8
## TiOs2I (PBE)

Data for TiOs2I after structural relaxation.

abc: 4.0177 4.0177 10.0223
angles: 78.44 78.44 90.00
Sites, in units of the cell vectors:
Os  0.3750  0.4521  0.7500
Os  0.2021  0.6250  0.2500
Os  0.5479  0.1250  0.2500
Os  0.8750  0.7979  0.7500
Ti  0.5000  0.5000  0.0000
Ti  0.2500  0.7500  0.5000
I  0.0000  0.0000  0.0000
I  0.7500  0.2500  0.5000

* DFT total energy: -7.035 eV per atom
* density of states at the Fermi level: 8.0 states/eV per cell
* formation energy without anion corrections: 941 meV/atom
* total magnetization: 0.00 μB/f.u.

***

Record 9
## TiOsI (PBE)

Data for TiOsI after structural relaxation.

abc: 3.9871 3.9897 10.8382
angles: 94.68 99.58 109.02
Sites, in units of the cell vectors:
Ti  0.7895  0.6062  0.1846
Ti  0.9619  0.7272  0.4785
I  0.4143  0.4563  0.6553
I  0.0341  0.1893  0.0077
Os  0.1704  0.3725  0.3315
Os  0.5477  0.9952  0.3315

* DFT total energy: -7.059 eV per atom
* density of states at the Fermi level: 3.2 states/eV per cell
* formation energy without anion corrections: -168 meV/atom
* total magnetization: 0.00 μB/f.u.

***

Record 10
## TiOsI (PBE)

Data for TiOsI after structural relaxation.

abc: 3.1539 5.0372 11.3976
angles: 84.57 89.67 71.68
Sites, in units of the cell vectors:
Os  0.1410  0.2166  0.4813
Os  0.8590  0.7834  0.5187
Ti  0.5544  0.3831  0.6321
Ti  0.4456  0.6169  0.3679
I  0.8918  0.7330  0.1630
I  0.1082  0.2670  0.8370

* DFT total energy: -7.059 eV per atom
* density of states at the Fermi level: 1.0 states/eV per cell
* formation energy without anion corrections: -168 meV/atom
* total magnetization: 0.00 μB/f.u.

***

Record 11
## TiOsI3 (PBE)

Data for TiOsI3 after structural relaxation.

abc: 5.5091 5.5091 5.5091
angles: 90.00 90.00 90.00
Sites, in units of the cell vectors:
Ti  0.0000  0.0000  0.0000
I  0.5000  0.0000  0.0000
I  0.0000  0.0000  0.5000
I  0.0000  0.5000  0.0000
Os  0.5000  0.5000  0.5000

* DFT total energy: -3.644 eV per atom
* density of states at the Fermi level: 12.1 states/eV per cell
* formation energy without anion corrections: 1111 meV/atom
* total magnetization: 4.58 μB/f.u.

***

Record 12
## Ti2OsI (PBE)

Data for Ti2OsI after structural relaxation.

abc: 5.9130 5.9130 7.4338
angles: 66.56 66.56 90.00
Sites, in units of the cell vectors:
Ti  0.8750  0.9437  0.7500
Ti  0.0563  0.6250  0.2500
Ti  0.3750  0.3063  0.7500
Ti  0.6937  0.1250  0.2500
I  0.5000  0.5000  0.0000
I  0.2500  0.7500  0.5000
Os  0.7500  0.2500  0.5000
Os  0.0000  0.0000  0.0000

* DFT total energy: -6.571 eV per atom
* density of states at the Fermi level: 6.6 states/eV per cell
* formation energy without anion corrections: 571 meV/atom
* total magnetization: 0.00 μB/f.u.